Arrangement one

Material: ZrSbN2F
Method: DFT, PBE
State: optimized geometry

The structure belongs to space group P4/mmm (No. 123); the cell edges are 4.1911, 4.1911 and 4.0416 Å and the angles 90.00°, 90.00° and 90.00°. The inequivalent atoms are Zr at (0.0000, 0.0000, 0.0000), Sb at (0.5000, 0.5000, 0.5000), N at (0.0000, 0.5000, 0.5000) and F at (0.5000, 0.5000, 0.0000).


Arrangement two

Material: ZrSbN2F
Method: DFT, PBE
State: optimized geometry

The structure belongs to space group P4/mmm (No. 123); the cell edges are 4.3475, 4.3475 and 4.0696 Å and the angles 90.00°, 90.00° and 90.00°. The inequivalent atoms are Zr at (0.0000, 0.0000, 0.0000), Sb at (0.5000, 0.5000, 0.5000), N at (0.0000, 0.5000, 0.0000) and F at (0.0000, 0.0000, 0.5000).


Relative to the most stable one, in meV/atom, the structures come out at arrangement one 722; arrangement two 0.


Arrangement one

Material: ScSeNF2
Method: DFT, PBE
State: optimized geometry

The structure belongs to space group P4/mmm (No. 123); the cell edges are 4.5377, 4.5377 and 3.7634 Å and the angles 90.00°, 90.00° and 90.00°. The inequivalent atoms are Sc at (0.0000, 0.0000, 0.0000), Se at (0.5000, 0.5000, 0.5000), N at (0.5000, 0.5000, 0.0000) and F at (0.0000, 0.5000, 0.5000).


Arrangement two

Material: ScSeNF2
Method: DFT, PBE
State: optimized geometry

The structure belongs to space group P4/mmm (No. 123); the cell edges are 3.9194, 3.9194 and 4.7589 Å and the angles 90.00°, 90.00° and 90.00°. The inequivalent atoms are Sc at (0.0000, 0.0000, 0.0000), Se at (0.5000, 0.5000, 0.5000), N at (0.0000, 0.0000, 0.5000) and F at (0.0000, 0.5000, 0.0000).


Relative to the most stable one, in meV/atom, the structures come out at arrangement one 1035; arrangement two 0.


Arrangement one

Material: ScSiNF2
Method: DFT, PBE
State: optimized geometry

The structure belongs to space group P4/mmm (No. 123); the cell edges are 3.9799, 3.9799 and 4.4284 Å and the angles 90.00°, 90.00° and 90.00°. The inequivalent atoms are Sc at (0.0000, 0.0000, 0.0000), Si at (0.5000, 0.5000, 0.5000), N at (0.0000, 0.0000, 0.5000) and F at (0.0000, 0.5000, 0.0000).


Arrangement two

Material: ScSiNF2
Method: DFT, PBE
State: optimized geometry

The structure belongs to space group P4/mmm (No. 123); the cell edges are 4.2702, 4.2702 and 3.3375 Å and the angles 90.00°, 90.00° and 90.00°. The inequivalent atoms are Sc at (0.0000, 0.0000, 0.0000), Si at (0.5000, 0.5000, 0.5000), N at (0.5000, 0.5000, 0.0000) and F at (0.0000, 0.5000, 0.5000).


Relative to the most stable one, in meV/atom, the structures come out at arrangement one 0; arrangement two 198.